DFT (GGA-PBE) results for crystalline Ti3VCu at its relaxed geometry.

Computed properties:
Formation enthalpy at 0 K in meV/atom: 824

Cell: 4.514 4.514 4.514 Å, 90.00 90.00 90.00°
Space group Pm-3m (No. 221)
Unique sites:
1 Ti 0.000 0.000 0.500 [3 per cell]
2 V 0.000 0.000 0.000 [1 per cell]
3 Cu 0.500 0.500 0.500 [1 per cell]